Zn4Cu: optimized geometry, GGA-PBEsol.

For the relative energy among the computed polymorphs, the calculation gives 0.0000 eV per atom. The calculation puts the total energy at -2.16 eV/atom. The energy of formation comes out at -0.029 eV per atom.

Lattice parameters (Å, degrees): 5.951 5.951 3.720 90.00 90.00 90.00
Space group I4/m (No. 87)
Unique sites:
1 Zn 0.101 0.703 0.000
2 Cu 0.000 0.000 0.500